RuPbCl2 (meta-GGA SCAN, single point on PBEsol structure); distance to the lowest polymorph of the same formula = 0.000 eV/atom; VASP energy = -31.820 eV/atom
1.0
-2.1161 0.5988 -2.3179
1.4906 -3.6980 -2.3161
-5.0292 -1.7526 4.1386
Cl Ru Pb
2 1 1
Direct
0.5000 0.8473 0.3178
0.0000 0.1601 0.9475
0.5000 0.0328 0.6904
0.0000 0.4599 0.5443